Version P
This record from Alexandria via LeMat-Bulk describes Ho2Ga6Co after structural relaxation. The functional is PBE.

Unit cell a=6.106 b=6.106 c=6.106 alpha=60.00 beta=60.00 gamma=60.00
Fractional positions:
1 Ho 0.250 0.250 0.250
2 Ho 0.750 0.750 0.750
3 Ga 0.224 0.224 0.776
4 Ga 0.224 0.776 0.224
5 Ga 0.224 0.776 0.776
6 Ga 0.776 0.224 0.224
7 Ga 0.776 0.224 0.776
8 Ga 0.776 0.776 0.224
9 Co 0.500 0.500 0.500

Properties
calculated density: 8.33 g/cm³
symmetry: Fm-3m, No. 225

=====

Version Q
This record from Alexandria via LeMat-Bulk describes Ho2Ga6Co after structural relaxation. The functional is PBE.

Unit cell a=5.809 b=5.809 c=5.537 alpha=90.00 beta=90.00 gamma=120.00
Fractional positions:
1 Ho 0.333 0.667 0.336
2 Ho 0.667 0.333 0.664
3 Ga 0.173 0.346 0.809
4 Ga 0.173 0.827 0.809
5 Ga 0.346 0.173 0.191
6 Ga 0.654 0.827 0.809
7 Ga 0.827 0.173 0.191
8 Ga 0.827 0.654 0.191
9 Co 0.000 0.000 0.500

Properties
calculated density: 8.28 g/cm³
symmetry: P-3m1, No. 164

=====

The structure with the least stability is version Q.

=====

Version P
This record from Alexandria via LeMat-Bulk describes Ho3Ga7Co2 after structural relaxation. The functional is PBE.

Unit cell a=13.904 b=13.904 c=3.916 alpha=90.00 beta=90.00 gamma=162.96
Fractional positions:
1 Ho 0.000 0.000 0.000
2 Ho 0.175 0.825 0.000
3 Ho 0.825 0.175 0.000
4 Ga 0.087 0.913 0.500
5 Ga 0.276 0.724 0.500
6 Ga 0.415 0.585 0.000
7 Ga 0.500 0.500 0.500
8 Ga 0.585 0.415 0.000
9 Ga 0.724 0.276 0.500
10 Ga 0.913 0.087 0.500
11 Co 0.361 0.639 0.500
12 Co 0.639 0.361 0.500

Properties
calculated density: 8.24 g/cm³
symmetry: Cmmm, No. 65

=====

Version Q
This record from Alexandria via LeMat-Bulk describes Ho3Ga7Co2 after structural relaxation. The functional is PBE.

Unit cell a=12.285 b=12.285 c=12.285 alpha=159.11 beta=159.11 gamma=29.71
Fractional positions:
1 Ho 0.000 0.000 0.000
2 Ho 0.176 0.176 0.000
3 Ho 0.824 0.824 0.000
4 Ga 0.088 0.588 0.500
5 Ga 0.296 0.296 0.000
6 Ga 0.412 0.912 0.500
7 Ga 0.500 0.500 0.000
8 Ga 0.588 0.088 0.500
9 Ga 0.704 0.704 0.000
10 Ga 0.912 0.412 0.500
11 Co 0.392 0.392 0.000
12 Co 0.608 0.608 0.000

Properties
calculated density: 7.76 g/cm³
symmetry: I4/mmm, No. 139

=====

The structure with the least stability is version Q.